[1]
An optimized crystal structure of Zn2Cu5Si. Source: the Alexandria database, functional GGA-PBE.

**Total magnetic moment**: 0.00 Bohr magnetons per cell
**Electronic total energy**: -3.62 eV per atom
**SG**: I4/mmm (139)

Geometry as CIF:
```
data_Zn2Cu5Si
_cell_length_a 7.604
_cell_length_b 7.604
_cell_length_c 7.604
_cell_angle_alpha 151.46
_cell_angle_beta 151.46
_cell_angle_gamma 40.80
_space_group_name_H-M_alt 'P 1'
_space_group_IT_number 1
loop_
_space_group_symop_operation_xyz
'x,y,z'
loop_
_atom_site_label
_atom_site_fract_x
_atom_site_fract_y
_atom_site_fract_z
Zn1 0.247 0.247 0.000
Zn2 0.753 0.753 0.000
Cu1 0.000 0.000 0.000
Cu2 0.120 0.620 0.500
Cu3 0.380 0.880 0.500
Cu4 0.620 0.120 0.500
Cu5 0.880 0.380 0.500
Si1 0.500 0.500 0.000
```



[2]
An optimized crystal structure of ZnCuSi2. Source: the Alexandria database, functional GGA-PBE.

**Total magnetic moment**: 0.00 Bohr magnetons per cell
**Electronic total energy**: -3.79 eV per atom
**SG**: Cmm2 (35)

Geometry as CIF:
```
data_ZnCuSi2
_cell_length_a 2.685
_cell_length_b 2.685
_cell_length_c 9.023
_cell_angle_alpha 90.00
_cell_angle_beta 90.00
_cell_angle_gamma 120.03
_space_group_name_H-M_alt 'P 1'
_space_group_IT_number 1
loop_
_space_group_symop_operation_xyz
'x,y,z'
loop_
_atom_site_label
_atom_site_fract_x
_atom_site_fract_y
_atom_site_fract_z
Zn1 0.000 0.000 0.000
Cu1 0.500 0.500 0.758
Si1 0.000 0.000 0.524
Si2 0.500 0.500 0.265
```